# Na3Mo5O12, optimized geometry, DFT PBE+U
data_Na3Mo5O12
_space_group_name_H-M_alt 'I a -3 d'
_space_group_IT_number 230
_space_group_name_Hall '-I 4bd 2c 3'
_cell_length_a 13.136
_cell_length_b 13.136
_cell_length_c 13.136
_cell_angle_alpha 90.00
_cell_angle_beta 90.00
_cell_angle_gamma 90.00
loop_
_atom_site_label
_atom_site_type_symbol
_atom_site_fract_x
_atom_site_fract_y
_atom_site_fract_z
Na1 Na 0.000 0.250 0.125
Mo1 Mo 0.000 0.000 0.000
Mo2 Mo 0.000 0.250 0.375
O1 O 0.035 0.051 0.652
# Total DFT energy (no corrections) = -6.620 eV/atom
# Magnetization = 72.00 μB/cell